Model a:
A plane-wave DFT calculation with PBE-GGA was carried out for crystalline UTeS2 at its relaxed geometry.

The structure in extended XYZ format:
```
8
Lattice="-1.9197 -1.0859 -2.8572 3.4532 -0.4817 -2.1372 1.8607 -12.7793 5.8866" Properties=species:S:1:pos:R:3 pbc="T T T"
Te 0.9274 -1.0686 -0.2170
Te 2.4668 -13.2783 1.1093
S 1.2449 -5.7636 1.3541
S 2.1493 -8.5832 -0.4618
S 2.8061 -3.5585 -0.5330
S 0.5881 -10.7884 1.4252
U 1.4236 -8.4068 2.2386
U 1.9706 -5.9401 -1.3463
```

Total magnetic moment (μB per atom): 0.558

---

Model b:
A plane-wave DFT calculation with PBE-GGA was carried out for crystalline UTeS2 at its relaxed geometry.

The structure in extended XYZ format:
```
4
Lattice="-2.7893 -2.0557 -0.1003 -0.2781 -2.6533 2.2133 -5.3055 3.9456 6.7780" Properties=species:S:1:pos:R:3 pbc="T T T"
U 0.0000 0.0000 0.0000
Te -4.1865 -0.3817 4.4455
S -4.2158 -3.2302 3.7415
S -4.1571 2.4668 5.1495
```

Total magnetic moment (μB per atom): 0.570

---

Model c:
A plane-wave DFT calculation with PBE-GGA was carried out for crystalline UTeS2 at its relaxed geometry.

The structure in extended XYZ format:
```
4
Lattice="4.0841 0.0000 0.0000 2.0421 3.5370 0.0000 2.0421 1.1790 8.1986" Properties=species:S:1:pos:R:3 pbc="T T T"
Te 4.0841 2.3580 3.5083
U 4.0841 2.3580 0.2972
S 2.0421 1.1790 1.3498
S 2.0421 1.1790 7.1426
```

Total magnetic moment (μB per atom): 0.298

---

Ranking the structures above by stability puts model a first and model b last.